(1)
SrCeGePd: relaxed, PBE.

* total magnetization: 0.55 μB/f.u.
* space-group type: No. 216
* energy of formation from the pure elements: -536 meV per atom

Unit cell a=7.375 b=7.375 c=7.375 alpha=90.00 beta=90.00 gamma=90.00
Sites, in units of the cell vectors:
Sr 0.000 0.000 0.000
Sr 0.000 0.500 0.500
Sr 0.500 0.000 0.500
Sr 0.500 0.500 0.000
Ce 0.000 0.000 0.500
Ce 0.000 0.500 0.000
Ce 0.500 0.000 0.000
Ce 0.500 0.500 0.500
Ge 0.250 0.250 0.750
Ge 0.250 0.750 0.250
Ge 0.750 0.250 0.250
Ge 0.750 0.750 0.750
Pd 0.250 0.250 0.250
Pd 0.250 0.750 0.750
Pd 0.750 0.250 0.750
Pd 0.750 0.750 0.250

---

(2)
Mn2CdCuI: relaxed, PBE.

* total magnetization: 8.95 μB/f.u.
* space-group type: No. 123
* formation energy without anion corrections: 0.9374 eV per atom

Unit cell a=5.231 b=5.231 c=4.882 alpha=90.00 beta=90.00 gamma=90.00
Sites, in units of the cell vectors:
Mn 0.000 0.500 0.000
Mn 0.500 0.000 0.000
Cd 0.000 0.000 0.000
Cu 0.000 0.000 0.500
I 0.500 0.500 0.500

---

(3)
PuPaAgRh: relaxed, PBE.

* total magnetization: 5.26 μB/f.u.
* E above lowest polymorph: 0.000 eV/atom
* space-group type: No. 216
* energy of formation from the pure elements: -349 meV per atom

Unit cell a=6.777 b=6.777 c=6.777 alpha=90.00 beta=90.00 gamma=90.00
Sites, in units of the cell vectors:
Pu 0.000 0.000 0.000
Pu 0.000 0.500 0.500
Pu 0.500 0.000 0.500
Pu 0.500 0.500 0.000
Pa 0.250 0.250 0.750
Pa 0.250 0.750 0.250
Pa 0.750 0.250 0.250
Pa 0.750 0.750 0.750
Ag 0.250 0.250 0.250
Ag 0.250 0.750 0.750
Ag 0.750 0.250 0.750
Ag 0.750 0.750 0.250
Rh 0.000 0.000 0.500
Rh 0.000 0.500 0.000
Rh 0.500 0.000 0.000
Rh 0.500 0.500 0.500

---

(4)
CaPr4Gd: relaxed, PBE.

* total magnetization: 7.19 μB/f.u.
* space-group type: No. 216
* energy of formation from the pure elements: 201 meV per atom

Unit cell a=6.865 b=6.865 c=6.865 alpha=60.00 beta=60.00 gamma=60.00
Sites, in units of the cell vectors:
Ca 0.000 0.000 0.000
Pr 0.128 0.624 0.624
Pr 0.624 0.128 0.624
Pr 0.624 0.624 0.128
Pr 0.624 0.624 0.624
Gd 0.250 0.250 0.250

---

(5)
PrNpIr: relaxed, PBE.

* total magnetization: 4.19 μB/f.u.
* E above lowest polymorph: 0.000 eV/atom
* space-group type: No. 70
* energy of formation from the pure elements: -39 meV per atom

Unit cell a=9.875 b=8.117 c=7.157 alpha=80.29 beta=54.11 gamma=45.59
Sites, in units of the cell vectors:
Pr 0.018 0.018 0.232
Pr 0.232 0.232 0.018
Pr 0.768 0.768 0.982
Pr 0.982 0.982 0.768
Np 0.205 0.205 0.545
Np 0.455 0.455 0.795
Np 0.545 0.545 0.205
Np 0.795 0.795 0.455
Ir 0.267 0.483 0.267
Ir 0.483 0.267 0.483
Ir 0.517 0.733 0.517
Ir 0.733 0.517 0.733

---

(6)
EuCdHgRh: relaxed, PBE.

* total magnetization: 6.82 μB/f.u.
* space-group type: No. 216
* energy of formation from the pure elements: -204 meV per atom

Unit cell a=7.083 b=7.083 c=7.083 alpha=90.00 beta=90.00 gamma=90.00
Sites, in units of the cell vectors:
Eu 0.000 0.000 0.000
Eu 0.000 0.500 0.500
Eu 0.500 0.000 0.500
Eu 0.500 0.500 0.000
Cd 0.000 0.000 0.500
Cd 0.000 0.500 0.000
Cd 0.500 0.000 0.000
Cd 0.500 0.500 0.500
Hg 0.250 0.250 0.250
Hg 0.250 0.750 0.750
Hg 0.750 0.250 0.750
Hg 0.750 0.750 0.250
Rh 0.250 0.250 0.750
Rh 0.250 0.750 0.250
Rh 0.750 0.250 0.250
Rh 0.750 0.750 0.750

---

(7)
SrReAg2: relaxed, PBE.

* total magnetization: 2.97 μB/f.u.
* E above lowest polymorph: 0.269 eV/atom
* space-group type: No. 216
* energy of formation from the pure elements: 941 meV per atom

Unit cell a=7.036 b=7.036 c=7.036 alpha=90.00 beta=90.00 gamma=90.00
Sites, in units of the cell vectors:
Sr 0.000 0.000 0.000
Sr 0.000 0.500 0.500
Sr 0.500 0.000 0.500
Sr 0.500 0.500 0.000
Re 0.250 0.250 0.250
Re 0.250 0.750 0.750
Re 0.750 0.250 0.750
Re 0.750 0.750 0.250
Ag 0.000 0.000 0.500
Ag 0.000 0.500 0.000
Ag 0.250 0.250 0.750
Ag 0.250 0.750 0.250
Ag 0.500 0.000 0.000
Ag 0.500 0.500 0.500
Ag 0.750 0.250 0.250
Ag 0.750 0.750 0.750

---

(8)
AcPr4Zn: relaxed, PBE.

* total magnetization: 0.00 μB/f.u.
* space-group type: No. 123
* energy of formation from the pure elements: -88 meV per atom

Unit cell a=3.777 b=3.777 c=14.338 alpha=90.00 beta=90.00 gamma=90.00
Sites, in units of the cell vectors:
Ac 0.000 0.000 0.000
Pr 0.000 0.000 0.374
Pr 0.000 0.000 0.626
Pr 0.500 0.500 0.192
Pr 0.500 0.500 0.808
Zn 0.500 0.500 0.500

---

(9)
Dy8Te3P3S: relaxed, PBE.

* total magnetization: 0.00 μB/f.u.
* space-group type: No. 166
* formation energy without anion corrections: -1.4609 eV per atom

Unit cell a=8.409 b=8.409 c=8.409 alpha=57.71 beta=57.71 gamma=57.71
Sites, in units of the cell vectors:
Dy 0.233 0.741 0.741
Dy 0.236 0.236 0.236
Dy 0.259 0.259 0.767
Dy 0.259 0.767 0.259
Dy 0.741 0.233 0.741
Dy 0.741 0.741 0.233
Dy 0.764 0.764 0.764
Dy 0.767 0.259 0.259
Te 0.000 0.500 0.500
Te 0.500 0.000 0.500
Te 0.500 0.500 0.000
P 0.000 0.000 0.500
P 0.000 0.500 0.000
P 0.500 0.000 0.000
S 0.500 0.500 0.500

---

(10)
Ce2MnGe6Ir: relaxed, PBE.

* total magnetization: 3.73 μB/f.u.
* space-group type: No. 59
* energy of formation from the pure elements: -358 meV per atom

Unit cell a=6.484 b=8.805 c=7.059 alpha=90.00 beta=90.00 gamma=90.00
Sites, in units of the cell vectors:
Ce 0.250 0.004 0.236
Ce 0.250 0.496 0.236
Ce 0.750 0.504 0.764
Ce 0.750 0.996 0.764
Mn 0.250 0.750 0.899
Mn 0.750 0.250 0.101
Ge 0.056 0.250 0.930
Ge 0.060 0.750 0.578
Ge 0.250 0.505 0.751
Ge 0.250 0.995 0.751
Ge 0.440 0.750 0.578
Ge 0.444 0.250 0.930
Ge 0.556 0.750 0.070
Ge 0.560 0.250 0.422
Ge 0.750 0.005 0.249
Ge 0.750 0.495 0.249
Ge 0.940 0.250 0.422
Ge 0.944 0.750 0.070
Ir 0.250 0.250 0.606
Ir 0.750 0.750 0.394

---

(11)
Zr2TlCrGe: relaxed, PBE.

* total magnetization: 4.14 μB/f.u.
* space-group type: No. 123
* energy of formation from the pure elements: 1240 meV per atom

Unit cell a=5.348 b=5.348 c=4.938 alpha=90.00 beta=90.00 gamma=90.00
Sites, in units of the cell vectors:
Zr 0.000 0.500 0.000
Zr 0.500 0.000 0.000
Tl 0.000 0.000 0.000
Cr 0.000 0.000 0.500
Ge 0.500 0.500 0.500

---

(12)
Ho5GaCo2: relaxed, PBE.

* total magnetization: 0.00 μB/f.u.
* space-group type: No. 140
* energy of formation from the pure elements: -299 meV per atom

Unit cell a=8.417 b=8.417 c=8.417 alpha=127.25 beta=127.25 gamma=77.84
Sites, in units of the cell vectors:
Ho 0.000 0.000 0.000
Ho 0.028 0.528 0.828
Ho 0.199 0.028 0.500
Ho 0.301 0.801 0.828
Ho 0.472 0.301 0.500
Ho 0.500 0.500 0.000
Ho 0.528 0.699 0.500
Ho 0.699 0.199 0.172
Ho 0.801 0.972 0.500
Ho 0.972 0.472 0.172
Ga 0.250 0.250 0.000
Ga 0.750 0.750 0.000
Co 0.129 0.371 0.500
Co 0.371 0.871 0.242
Co 0.629 0.129 0.758
Co 0.871 0.629 0.500

---

(13)
Li5PdCl8: relaxed, PBE.

* total magnetization: 2.81 μB/f.u.
* space-group type: No. 216
* formation energy without anion corrections: -1.2583 eV per atom

Unit cell a=7.514 b=7.514 c=7.514 alpha=60.00 beta=60.00 gamma=60.00
Sites, in units of the cell vectors:
Li 0.000 0.000 0.000
Li 0.069 0.644 0.644
Li 0.644 0.069 0.644
Li 0.644 0.644 0.069
Li 0.644 0.644 0.644
Pd 0.250 0.250 0.250
Cl 0.378 0.378 0.378
Cl 0.378 0.378 0.866
Cl 0.378 0.866 0.378
Cl 0.391 0.870 0.870
Cl 0.866 0.378 0.378
Cl 0.870 0.391 0.870
Cl 0.870 0.870 0.391
Cl 0.870 0.870 0.870